This record from Alexandria via LeMat-Bulk describes an optimized crystal structure of PrSm4Hg2. The functional is PBE.

The structure belongs to space group C2/m (No. 12); the cell edges are 17.469, 3.704 and 14.191 Å and the angles 90.00°, 107.28° and 90.00°. Symmetry generates all atoms from Pr at (0.114, 0.000, 0.126), Sm at (0.017, 0.000, 0.716), Sm at (0.169, 0.500, 0.383), Sm at (0.186, 0.500, 0.689), Sm at (0.201, 0.000, 0.900), Hg at (0.055, 0.500, 0.920) and Hg at (0.088, 0.000, 0.513).

The volume is 876.73 Å³ per cell. The formation energy is -0.172 eV/atom. The electronic total energy is -101.85 eV per cell. The calculation puts the energy above the most stable polymorph in this dataset at 0.00 eV/f.u.